Entry from Alexandria: TlTeSe2 at its PBEsol-relaxed geometry (SCAN).

Cell: 4.184 4.182 6.002 Å, 90.00 90.06 90.00°
Space group P2/m (No. 10)
Asymmetric unit:
Tl 0.000 0.000 0.000
Te 0.500 0.500 0.500
Se 0.000 0.000 0.500
Se 0.500 0.500 0.000

Properties
Density, g/cm3: 7.75
Total magnetization, μB per formula unit: 0.00
Energy above the lowest structure with this stoichiometry, meV per atom: 35
DOS(E_F), states/eV per atom: 0.5271
Formation energy (no corrections), eV per atom: -0.12


Entry from Alexandria: TlTeSe2 at its PBEsol-relaxed geometry (SCAN).

Cell: 3.895 6.007 9.308 Å, 90.00 90.00 90.00°
Space group Immm (No. 71)
Asymmetric unit:
Tl 0.000 0.000 0.000
Te 0.000 0.000 0.500
Se 0.000 0.500 0.207

Properties
Density, g/cm3: 7.47
Total magnetization, μB per formula unit: 0.00
Energy above the lowest structure with this stoichiometry, meV per atom: 78
DOS(E_F), states/eV per atom: 0.4455
Formation energy (no corrections), eV per atom: -0.07


> What is the formula in the first record?

TlTeSe2


Copy entry 1 word for word.
Entry from Alexandria: TlTeSe2 at its PBEsol-relaxed geometry (SCAN).

Cell: 4.184 4.182 6.002 Å, 90.00 90.06 90.00°
Space group P2/m (No. 10)
Asymmetric unit:
Tl 0.000 0.000 0.000
Te 0.500 0.500 0.500
Se 0.000 0.000 0.500
Se 0.500 0.500 0.000

Properties
Density, g/cm3: 7.75
Total magnetization, μB per formula unit: 0.00
Energy above the lowest structure with this stoichiometry, meV per atom: 35
DOS(E_F), states/eV per atom: 0.5271
Formation energy (no corrections), eV per atom: -0.12


What did the second record say?
Entry from Alexandria: TlTeSe2 at its PBEsol-relaxed geometry (SCAN).

Cell: 3.895 6.007 9.308 Å, 90.00 90.00 90.00°
Space group Immm (No. 71)
Asymmetric unit:
Tl 0.000 0.000 0.000
Te 0.000 0.000 0.500
Se 0.000 0.500 0.207

Properties
Density, g/cm3: 7.47
Total magnetization, μB per formula unit: 0.00
Energy above the lowest structure with this stoichiometry, meV per atom: 78
DOS(E_F), states/eV per atom: 0.4455
Formation energy (no corrections), eV per atom: -0.07


> Which value of total magnetization does entry 1 give?

0.00 μB per formula unit